(1)
# Li4Ho3AlSe8, optimized geometry, DFT PBE
# Raw formation energy: -23.87 eV per formula unit
data_Li4Ho3AlSe8
_symmetry_space_group_name_H-M 'R -3 m'
_symmetry_Int_Tables_number 166
_symmetry_space_group_name_Hall '-R 3 2"'
_cell_length_a 7.9571
_cell_length_b 7.9571
_cell_length_c 19.4173
_cell_angle_alpha 90.00
_cell_angle_beta 90.00
_cell_angle_gamma 120.00
loop_
_atom_site_label
_atom_site_fract_x
_atom_site_fract_y
_atom_site_fract_z
Li1 0.0000 0.0000 0.0000
Li2 0.0000 0.5000 0.0000
Ho1 0.0000 0.5000 0.5000
Al1 0.0000 0.0000 0.5000
Se1 0.0000 0.0000 0.2514
Se2 0.0214 0.5107 0.2478



(2)
# CdAg3P, optimized geometry, DFT PBE
# Distance to the lowest polymorph of the same formula: 0 meV/atom
data_CdAg3P
_symmetry_space_group_name_H-M 'P m -3 m'
_symmetry_Int_Tables_number 221
_symmetry_space_group_name_Hall '-P 4 2 3'
_cell_length_a 4.8551
_cell_length_b 4.8551
_cell_length_c 4.8551
_cell_angle_alpha 90.00
_cell_angle_beta 90.00
_cell_angle_gamma 90.00
loop_
_atom_site_label
_atom_site_fract_x
_atom_site_fract_y
_atom_site_fract_z
Cd1 0.0000 0.0000 0.0000
Ag1 0.0000 0.5000 0.5000
P1 0.5000 0.5000 0.5000



(3)
Entry from Alexandria via LeMat-Bulk: a relaxed structure of Pm2DyAl3 (PBE).

```
data_Pm2DyAl3
_symmetry_space_group_name_H-M 'P 4/m m m'
_symmetry_Int_Tables_number 123
_symmetry_space_group_name_Hall '-P 4 2'
_cell_length_a 3.6552
_cell_length_b 3.6552
_cell_length_c 11.0617
_cell_angle_alpha 90.00
_cell_angle_beta 90.00
_cell_angle_gamma 90.00
loop_
_atom_site_label
_atom_site_fract_x
_atom_site_fract_y
_atom_site_fract_z
Pm1 0.0000 0.0000 0.1704
Dy1 0.0000 0.0000 0.5000
Al1 0.5000 0.5000 0.0000
Al2 0.5000 0.5000 0.3427
```



(4)
# AcHoIn2Te4, optimized geometry, DFT PBE
# Raw formation energy: -7.94 eV per formula unit
data_AcHoIn2Te4
_symmetry_space_group_name_H-M 'P 1 2/m 1'
_symmetry_Int_Tables_number 10
_symmetry_space_group_name_Hall '-P 2y'
_cell_length_a 7.9759
_cell_length_b 4.5828
_cell_length_c 8.5231
_cell_angle_alpha 90.00
_cell_angle_beta 107.92
_cell_angle_gamma 90.00
loop_
_atom_site_label
_atom_site_fract_x
_atom_site_fract_y
_atom_site_fract_z
Ac1 0.0000 0.0000 0.0000
Ho1 0.5000 0.5000 0.0000
In1 0.0000 0.5000 0.5000
In2 0.5000 0.0000 0.5000
Te1 0.2624 0.5000 0.2298
Te2 0.2779 0.0000 0.7798



(5)
# Hg2SbIr, optimized geometry, DFT PBE
# Raw formation energy: 1.93 eV per formula unit
data_Hg2SbIr
_symmetry_space_group_name_H-M 'I 4/m m m'
_symmetry_Int_Tables_number 139
_symmetry_space_group_name_Hall '-I 4 2'
_cell_length_a 4.1875
_cell_length_b 4.1875
_cell_length_c 9.3888
_cell_angle_alpha 90.00
_cell_angle_beta 90.00
_cell_angle_gamma 90.00
loop_
_atom_site_label
_atom_site_fract_x
_atom_site_fract_y
_atom_site_fract_z
Hg1 0.0000 0.5000 0.2500
Sb1 0.0000 0.0000 0.0000
Ir1 0.0000 0.0000 0.5000



(6)
Entry from Alexandria via LeMat-Bulk: a relaxed structure of Ca2HfZn2 (PBE).

```
data_Ca2HfZn2
_symmetry_space_group_name_H-M 'P 4/m b m'
_symmetry_Int_Tables_number 127
_symmetry_space_group_name_Hall '-P 4 2ab'
_cell_length_a 7.1610
_cell_length_b 7.1610
_cell_length_c 4.8552
_cell_angle_alpha 90.00
_cell_angle_beta 90.00
_cell_angle_gamma 90.00
loop_
_atom_site_label
_atom_site_fract_x
_atom_site_fract_y
_atom_site_fract_z
Ca1 0.1766 0.3234 0.0000
Hf1 0.0000 0.0000 0.5000
Zn1 0.1276 0.6276 0.5000
```



Results for calculated total energy: -4.8045, -2.7514, -4.6008, -4.3335, -2.9149, -3.2566 (in eV/atom, following the order of the records).